A geometry-optimized AgTeIr2 structure, computed with GGA-PBEsol.

Geometry as CIF:
```
data_AgTeIr2
_cell_length_a 3.052
_cell_length_b 3.649
_cell_length_c 5.880
_cell_angle_alpha 90.00
_cell_angle_beta 90.00
_cell_angle_gamma 90.00
_symmetry_space_group_name_H-M 'P m m m'
_symmetry_Int_Tables_number 47
_symmetry_space_group_name_Hall '-P 2 2'
loop_
_atom_site_label
_atom_site_type_symbol
_atom_site_fract_x
_atom_site_fract_y
_atom_site_fract_z
_atom_site_occupancy
Ag1 Ag 0.000 0.000 0.000 1
Te1 Te 0.000 0.000 0.500 1
Ir1 Ir 0.500 0.500 0.248 1
```

## Properties
N(E_F) ... 0.675 states/eV per atom
E ... -6.156 eV per atom